Entry 1:
Computed, not measured: crystalline Li2NbAl at its relaxed geometry at the PBE level of DFT.

a b c (Å): 4.447 4.447 4.447
angles (deg): 60.00 60.00 60.00
Atoms (fractional coordinates):
Li: 0.000 0.000 0.000
Li: 0.250 0.250 0.250
Nb: 0.500 0.500 0.500
Al: 0.750 0.750 0.750

Calculated values
Its space group is F-43m, No. 216. The calculation puts the density at 3.57 g/cm3. The calculated total energy comes out at -4.214 eV per atom.


Entry 2:
Computed, not measured: crystalline Li2TaNbAl2Ni2 at its relaxed geometry at the PBE level of DFT.

a b c (Å): 4.234 4.234 6.001
angles (deg): 90.00 90.00 90.00
Atoms (fractional coordinates):
Li: 0.000 0.500 0.249
Li: 0.500 0.000 0.751
Ta: 0.500 0.500 0.500
Nb: 0.000 0.000 0.000
Al: 0.000 0.000 0.500
Al: 0.500 0.500 0.000
Ni: 0.000 0.500 0.742
Ni: 0.500 0.000 0.258

Calculated values
Its space group is P-4m2, No. 115. The calculation puts the density at 7.08 g/cm3. The calculated total energy comes out at -5.737 eV per atom.


Entry 3:
Computed, not measured: crystalline Li3Nb3Al2O12 at its relaxed geometry at the PBE level of DFT.

a b c (Å): 9.872 9.872 9.872
angles (deg): 109.47 109.47 109.47
Atoms (fractional coordinates):
Li: 0.125 0.750 0.875
Li: 0.125 0.875 0.250
Li: 0.250 0.125 0.875
Li: 0.250 0.625 0.375
Li: 0.375 0.250 0.625
Li: 0.375 0.625 0.750
Li: 0.625 0.375 0.250
Li: 0.625 0.750 0.375
Li: 0.750 0.375 0.625
Li: 0.750 0.875 0.125
Li: 0.875 0.125 0.750
Li: 0.875 0.250 0.125
Nb: 0.125 0.250 0.375
Nb: 0.125 0.375 0.750
Nb: 0.250 0.375 0.125
Nb: 0.250 0.875 0.625
Nb: 0.375 0.125 0.250
Nb: 0.375 0.750 0.125
Nb: 0.625 0.250 0.875
Nb: 0.625 0.875 0.750
Nb: 0.750 0.125 0.375
Nb: 0.750 0.625 0.875
Nb: 0.875 0.625 0.250
Nb: 0.875 0.750 0.625
Al: 0.000 0.000 0.000
Al: 0.000 0.000 0.500
Al: 0.000 0.500 0.000
Al: 0.000 0.500 0.500
Al: 0.500 0.000 0.000
Al: 0.500 0.000 0.500
Al: 0.500 0.500 0.000
Al: 0.500 0.500 0.500
O: 0.041 0.216 0.128
O: 0.041 0.325 0.914
O: 0.086 0.628 0.412
O: 0.086 0.959 0.675
O: 0.088 0.716 0.675
O: 0.088 0.872 0.414
O: 0.128 0.041 0.216
O: 0.128 0.586 0.912
O: 0.175 0.216 0.588
O: 0.175 0.459 0.586
O: 0.216 0.128 0.041
O: 0.216 0.588 0.175
O: 0.284 0.325 0.912
O: 0.284 0.459 0.372
O: 0.325 0.912 0.284
O: 0.325 0.914 0.041
O: 0.372 0.284 0.459
O: 0.372 0.588 0.914
O: 0.412 0.086 0.628
O: 0.412 0.825 0.784
O: 0.414 0.088 0.872
O: 0.414 0.825 0.541
O: 0.459 0.372 0.284
O: 0.459 0.586 0.175
O: 0.541 0.414 0.825
O: 0.541 0.628 0.716
O: 0.586 0.175 0.459
O: 0.586 0.912 0.128
O: 0.588 0.175 0.216
O: 0.588 0.914 0.372
O: 0.628 0.412 0.086
O: 0.628 0.716 0.541
O: 0.675 0.086 0.959
O: 0.675 0.088 0.716
O: 0.716 0.541 0.628
O: 0.716 0.675 0.088
O: 0.784 0.412 0.825
O: 0.784 0.872 0.959
O: 0.825 0.541 0.414
O: 0.825 0.784 0.412
O: 0.872 0.414 0.088
O: 0.872 0.959 0.784
O: 0.912 0.128 0.586
O: 0.912 0.284 0.325
O: 0.914 0.041 0.325
O: 0.914 0.372 0.588
O: 0.959 0.675 0.086
O: 0.959 0.784 0.872

Calculated values
Its space group is Ia-3d, No. 230. The calculation puts the density at 4.89 g/cm3. The calculated total energy comes out at -7.551 eV per atom.